No. 1
{"formula": "TiAl3Ir", "functional": "PBE", "state": "optimized geometry", "lattice_angstrom": [[-1.7887, -0.7668, -4.2466], [-3.0191, -3.0621, 1.8247], [-3.0833, 3.4433, 0.6769]], "species": ["Ir", "Al", "Al", "Al", "Ti"], "fractional_positions": [[0.0000, 0.0000, 0.0000], [0.0000, 0.5000, 0.0000], [0.0000, 0.0000, 0.5000], [0.5000, 0.0000, 0.0000], [0.5000, 0.5000, 0.5000]], "mass_density_g_cm3": 5.2, "vol_a3_per_atom": 20.39, "e_tot_ev_per_cell": -27.36, "dos_at_fermi_per_ev_cell": 2.02}

No. 2
{"formula": "TiAl3Ir4", "functional": "PBE", "state": "optimized geometry", "lattice_angstrom": [[-4.0046, 1.0536, -0.3765], [-0.6664, -3.3675, -2.3462], [0.9150, -2.3093, 6.7333]], "species": ["Ir", "Ir", "Ir", "Ir", "Al", "Al", "Al", "Ti"], "fractional_positions": [[0.3725, 0.3722, 0.7451], [0.6275, 0.6278, 0.2549], [0.1275, 0.1278, 0.2549], [0.8725, 0.8722, 0.7451], [0.0000, 0.5000, 0.0000], [0.7508, 0.2508, 0.5016], [0.2492, 0.7492, 0.4984], [0.5000, 0.0000, 0.0000]], "mass_density_g_cm3": 13.2, "vol_a3_per_atom": 14.15, "e_tot_ev_per_cell": -62.16, "dos_at_fermi_per_ev_cell": 2.28}

Question: Which formula does entry 2 have?
Answer: TiAl3Ir4

Question: What is the formula in the second record?
Answer: TiAl3Ir4